(1)
{
  "formula": "Nd4Sn8Rh",
  "functional": "GGA-PBE",
  "state": "relaxed",
  "formation_energy_mev_per_atom": -659,
  "total_magnetization_mub_per_cell": 0.00,
  "lattice": [[4.488, 0.000, 0.000], [0.000, 4.562, 0.000], [0.000, 0.000, 17.170]],
  "species": ["Sn", "Sn", "Sn", "Sn", "Sn", "Sn", "Sn", "Sn", "Nd", "Nd", "Nd", "Nd", "Rh"],
  "frac_coords": [[0.500, 0.000, 0.232], [0.000, 0.000, 0.752], [0.500, 0.000, 0.574], [0.000, 0.500, 0.934], [0.500, 0.500, 0.754], [0.000, 0.000, 0.461], [0.500, 0.500, 0.055], [0.000, 0.500, 0.234], [0.000, 0.500, 0.606], [0.000, 0.000, 0.095], [0.500, 0.000, 0.899], [0.500, 0.500, 0.395], [0.000, 0.000, 0.311]]
}

(2)
{
  "formula": "Nd2SnRh3",
  "functional": "GGA-PBE",
  "state": "relaxed",
  "formation_energy_mev_per_atom": -745,
  "total_magnetization_mub_per_cell": 0.00,
  "lattice": [[5.769, 0.000, 0.000], [-2.884, 4.996, 0.000], [0.000, 0.000, 8.391]],
  "species": ["Rh", "Rh", "Rh", "Rh", "Rh", "Rh", "Sn", "Sn", "Nd", "Nd", "Nd", "Nd"],
  "frac_coords": [[0.825, 0.175, 0.750], [0.349, 0.175, 0.750], [0.175, 0.349, 0.250], [0.175, 0.825, 0.250], [0.651, 0.825, 0.250], [0.825, 0.651, 0.750], [0.000, 0.000, 0.000], [0.000, 0.000, 0.500], [0.333, 0.667, 0.566], [0.667, 0.333, 0.066], [0.333, 0.667, 0.934], [0.667, 0.333, 0.434]]
}